## ScSiTe2 (PBE)

Data for ScSiTe2 after structural relaxation.

Calculated values
Formation energy from raw total energies = -0.116 eV per atom
V = 137.9 Å³/f.u.

Unit cell a=6.393 b=6.393 c=8.123 alpha=66.83 beta=66.83 gamma=90.00
Atoms (fractional coordinates):
Te1 0.375 0.381 0.750
Te2 0.875 0.869 0.750
Te3 0.619 0.125 0.250
Te4 0.131 0.625 0.250
Sc1 0.750 0.250 0.500
Sc2 0.000 0.000 0.000
Si1 0.500 0.500 0.000
Si2 0.250 0.750 0.500